{"formula": "NaYSn2", "functional": "PBE", "state": "relaxed", "e_form_mev_per_atom": -114, "lattice": [[-4.1302, 4.1302, 3.2896], [4.1302, -4.1302, 3.2896], [4.1302, 4.1302, -3.2896]], "species": ["Na", "Na", "Y", "Y", "Sn", "Sn", "Sn", "Sn"], "frac_coords": [[0.0000, 0.0000, 0.0000], [0.7500, 0.2500, 0.5000], [0.2500, 0.7500, 0.5000], [0.5000, 0.5000, 0.0000], [0.1097, 0.6250, 0.9847], [0.3750, 0.3597, 0.4847], [0.6403, 0.1250, 0.0153], [0.8750, 0.8903, 0.5153]]}

{"formula": "Pu2HgOs", "functional": "PBE", "state": "relaxed", "e_form_mev_per_atom": -138, "lattice": [[3.2499, 0.0000, 0.0000], [0.0000, 3.2499, 0.0000], [0.0000, 0.0000, 8.5519]], "species": ["Pu", "Pu", "Hg", "Os"], "frac_coords": [[0.0000, 0.0000, 0.2092], [0.0000, 0.0000, 0.7908], [0.5000, 0.5000, 0.5000], [0.5000, 0.5000, 0.0000]]}

{"formula": "BeCoSeBr2", "functional": "PBE", "state": "relaxed", "total_energy_ev_per_cell": -14.67, "lattice": [[4.9425, 0.0000, 0.0000], [0.0000, 4.9425, 0.0000], [0.0000, 0.0000, 4.5978]], "species": ["Be", "Co", "Se", "Br", "Br"], "frac_coords": [[0.0000, 0.0000, 0.0000], [0.5000, 0.5000, 0.5000], [0.5000, 0.5000, 0.0000], [0.0000, 0.5000, 0.5000], [0.5000, 0.0000, 0.5000]]}

{"formula": "Nd4CoAu2", "functional": "PBE", "state": "relaxed", "e_form_mev_per_atom": -300, "lattice": [[-2.5827, 2.5827, 7.5889], [2.5827, -2.5827, 7.5889], [2.5827, 2.5827, -7.5889]], "species": ["Nd", "Nd", "Nd", "Nd", "Co", "Au", "Au"], "frac_coords": [[0.0000, 0.5000, 0.5000], [0.1844, 0.1844, 0.0000], [0.5000, 0.0000, 0.5000], [0.8156, 0.8156, 0.0000], [0.0000, 0.0000, 0.0000], [0.3774, 0.3774, 0.0000], [0.6226, 0.6226, 0.0000]]}

{"formula": "CaMgInRe2", "functional": "PBE", "state": "relaxed", "e_form_mev_per_atom": 2382, "lattice": [[4.8265, 0.0000, 0.0000], [0.0000, 4.8265, 0.0000], [0.0000, 0.0000, 5.3260]], "species": ["Ca", "Mg", "In", "Re", "Re"], "frac_coords": [[0.0000, 0.0000, 0.0000], [0.5000, 0.5000, 0.5000], [0.0000, 0.0000, 0.5000], [0.0000, 0.5000, 0.0000], [0.5000, 0.0000, 0.0000]]}

{"formula": "NaAc2Pb4", "functional": "PBE", "state": "relaxed", "e_form_mev_per_atom": -88, "lattice": [[-2.7013, 2.7013, 8.5894], [2.7013, -2.7013, 8.5894], [2.7013, 2.7013, -8.5894]], "species": ["Na", "Ac", "Ac", "Pb", "Pb", "Pb", "Pb"], "frac_coords": [[0.0000, 0.0000, 0.0000], [0.3638, 0.3638, 0.0000], [0.6362, 0.6362, 0.0000], [0.0000, 0.5000, 0.5000], [0.1687, 0.1687, 0.0000], [0.5000, 0.0000, 0.5000], [0.8313, 0.8313, 0.0000]]}

{"formula": "Ho2HPt", "functional": "PBE", "state": "relaxed", "total_energy_ev_per_cell": -18.88, "lattice": [[1.6510, 0.9532, 8.1635], [-1.6510, 0.9532, 8.1635], [0.0000, -1.9064, 8.1635]], "species": ["Ho", "Ho", "H", "Pt"], "frac_coords": [[0.1080, 0.1080, 0.1080], [0.8920, 0.8920, 0.8920], [0.5000, 0.5000, 0.5000], [0.0000, 0.0000, 0.0000]]}

{"formula": "Pr2B2Rh5", "functional": "PBE", "state": "relaxed", "e_form_mev_per_atom": -582, "lattice": [[4.2055, 0.0000, 0.0000], [0.0000, 4.2055, 0.0000], [0.0000, 0.0000, 8.5296]], "species": ["Pr", "Pr", "B", "B", "Rh", "Rh", "Rh", "Rh", "Rh"], "frac_coords": [[0.0000, 0.0000, 0.0000], [0.0000, 0.0000, 0.5000], [0.5000, 0.5000, 0.2369], [0.5000, 0.5000, 0.7631], [0.0000, 0.5000, 0.2501], [0.0000, 0.5000, 0.7499], [0.5000, 0.0000, 0.2501], [0.5000, 0.0000, 0.7499], [0.5000, 0.5000, 0.5000]]}

{"formula": "NdMgPdPt", "functional": "PBE", "state": "relaxed", "e_form_mev_per_atom": -868, "lattice": [[2.2720, 1.3118, 4.7234], [-2.2720, 1.3118, 4.7234], [0.0000, -2.6235, 4.7234]], "species": ["Nd", "Mg", "Pd", "Pt"], "frac_coords": [[0.0000, 0.0000, 0.0000], [0.4967, 0.4967, 0.4967], [0.2150, 0.2150, 0.2150], [0.7830, 0.7830, 0.7830]]}

{"formula": "CeNdGa2", "functional": "PBE", "state": "relaxed", "e_form_mev_per_atom": -561, "lattice": [[4.0937, 0.0000, 0.0000], [0.0000, 4.5198, 0.0000], [-2.0441, 0.0000, 10.5689]], "species": ["Ce", "Ce", "Nd", "Nd", "Ga", "Ga", "Ga", "Ga"], "frac_coords": [[0.0429, 0.2500, 0.0895], [0.9571, 0.7500, 0.9105], [0.3114, 0.7500, 0.6197], [0.6886, 0.2500, 0.3803], [0.1544, 0.7500, 0.3126], [0.4241, 0.2500, 0.8451], [0.5759, 0.7500, 0.1549], [0.8456, 0.2500, 0.6874]]}

{"formula": "PbAuBr2", "functional": "PBE", "state": "relaxed", "total_energy_ev_per_cell": -11.72, "lattice": [[5.5099, 0.0000, 0.0000], [0.0000, 4.3067, 0.0000], [-2.7277, 0.0000, 5.1517]], "species": ["Pb", "Au", "Br", "Br"], "frac_coords": [[0.0000, 0.0000, 0.0000], [0.1890, 0.5000, 0.3743], [0.3859, 0.0000, 0.7714], [0.7024, 0.5000, 0.4018]]}

{"formula": "Nd6Y2Ho", "functional": "PBE", "state": "relaxed", "e_form_mev_per_atom": 155, "lattice": [[-2.8463, 3.5422, 7.7535], [2.8463, -3.5422, 7.7535], [2.8463, 3.5422, -7.7535]], "species": ["Nd", "Nd", "Nd", "Nd", "Nd", "Nd", "Y", "Y", "Ho"], "frac_coords": [[0.1178, 0.3897, 0.7281], [0.2144, 0.2144, 0.0000], [0.3384, 0.6103, 0.7281], [0.6616, 0.3897, 0.2719], [0.7856, 0.7856, 0.0000], [0.8822, 0.6103, 0.2719], [0.3683, 0.8683, 0.5000], [0.6317, 0.1317, 0.5000], [0.0000, 0.0000, 0.0000]]}

For the records above, the corresponding magnetization values read 0.00 10.56 0.96 0.00 3.25 0.00 0.00 0.00 0.00 0.63 0.00 0.00 μB per formula unit.